A plane-wave DFT calculation with PBE was carried out for an optimized crystal structure of ZnOs2O6.

Output
Size of the total moment ... 0.000 μB/cell
E_tot ... -6.8933 eV/atom

abc: 4.7445 4.7445 4.9143
angles: 90.00 90.00 120.00
Element x y z (fractional)
O 0.3288 0.0000 0.2604
O 0.0000 0.6712 0.7396
Os 0.3333 0.6667 0.5000
Zn 0.0000 0.0000 0.0000
O 0.0000 0.3288 0.2604
O 0.6712 0.0000 0.7396
Os 0.6667 0.3333 0.5000
O 0.3288 0.3288 0.7396
O 0.6712 0.6712 0.2604

=====

A plane-wave DFT calculation with PBE was carried out for an optimized crystal structure of Zr2OsO4.

Output
Size of the total moment ... 4.468 μB/cell
E_tot ... -8.5226 eV/atom

abc: 6.4669 6.4669 6.4669
angles: 120.00 90.01 120.00
Last column: magnetic moment on the atom in μB.
Element x y z (fractional)
Zr 0.3750 0.7500 0.6250  -0.09
Os 0.0000 0.0000 0.0000  1.90
O 0.6122 0.7758 0.3880  0.03
Os 0.7500 0.5000 0.2500  1.90
O 0.1378 0.7242 0.8620  0.03
Zr 0.8750 0.2500 0.6250  -0.06
O 0.1380 0.2758 0.8622  0.04
O 0.6120 0.2242 0.3878  0.04
Zr 0.3750 0.2500 0.6250  -0.06
O 0.1378 0.2758 0.4136  0.04
Zr 0.3750 0.7500 0.1250  -0.09
O 0.1636 0.7758 0.3878  0.03
O 0.6122 0.2242 0.8364  0.04
O 0.5865 0.7242 0.8622  0.03